Entry from the Alexandria database: crystalline TlCr4Cd at its relaxed geometry (PBE).

a b c (Å): 5.028 5.028 5.028
angles (deg): 60.00 60.00 60.00
Atoms (fractional coordinates):
Tl  0.000  0.000  0.000
Cr  0.136  0.621  0.621
Cr  0.621  0.136  0.621
Cr  0.621  0.621  0.136
Cr  0.621  0.621  0.621
Cd  0.250  0.250  0.250

Properties
Crystal system   cubic
Symmetry   F-43m (216)
Energy of formation from the pure elements   0.652 eV/atom

=====

Entry from the Alexandria database: crystalline TlCrCd2 at its relaxed geometry (PBE).

a b c (Å): 5.530 5.530 5.530
angles (deg): 133.54 133.54 67.80
Atoms (fractional coordinates):
Tl  0.000  0.000  0.000
Cr  0.500  0.500  0.000
Cd  0.250  0.750  0.500
Cd  0.750  0.250  0.500

Properties
Crystal system   tetragonal
Symmetry   I4/mmm (139)
Energy relative to the lowest polymorph listed for this composition   0.041 eV/atom
Energy of formation from the pure elements   0.334 eV/atom

=====

Entry from the Alexandria database: crystalline Tl2CrCd at its relaxed geometry (PBE).

a b c (Å): 3.428 3.428 8.223
angles (deg): 90.00 90.00 90.00
Atoms (fractional coordinates):
Tl  0.000  0.000  0.227
Tl  0.000  0.000  0.773
Cr  0.500  0.500  0.000
Cd  0.500  0.500  0.500

Properties
Crystal system   tetragonal
Symmetry   P4/mmm (123)
Energy relative to the lowest polymorph listed for this composition   0.063 eV/atom
Energy of formation from the pure elements   0.413 eV/atom

=====

Entry from the Alexandria database: crystalline TlCrCd2 at its relaxed geometry (PBE).

a b c (Å): 3.266 3.266 8.445
angles (deg): 90.00 90.00 90.00
Atoms (fractional coordinates):
Tl  0.000  0.000  0.000
Cr  0.000  0.000  0.500
Cd  0.500  0.500  0.289
Cd  0.500  0.500  0.711

Properties
Crystal system   tetragonal
Symmetry   P4/mmm (123)
Energy relative to the lowest polymorph listed for this composition   0.000 eV/atom
Energy of formation from the pure elements   0.292 eV/atom

=====

| no. | total energy (eV/cell) |
| --- | --- |
| 1 | -37.86 |
| 2 | -12.49 |
| 3 | -13.62 |
| 4 | -12.65 |